[1]
Material: MnW2SeCl
Method: DFT, PBE-GGA
State: relaxed

Output
total DFT energy (no corrections): -6.5778 eV per atom
formation energy (no corrections): 725 kJ/mol of formula units

The structure in CIF format:
```
data_MnW2SeCl
_chemical_formula_sum 'Mn1 W2 Se1 Cl1'
_cell_length_a 4.650
_cell_length_b 4.650
_cell_length_c 4.422
_cell_angle_alpha 90.00
_cell_angle_beta 90.00
_cell_angle_gamma 90.00
_symmetry_space_group_name_H-M 'P 4/m m m'
_symmetry_Int_Tables_number 123
_symmetry_space_group_name_Hall '-P 4 2'
loop_
_atom_site_label
_atom_site_type_symbol
_atom_site_fract_x
_atom_site_fract_y
_atom_site_fract_z
Mn1 Mn 0.000 0.000 0.000
W1 W 0.000 0.500 0.000
Se1 Se 0.000 0.000 0.500
Cl1 Cl 0.500 0.500 0.500
```

***

[2]
Material: AlCoPb2N
Method: DFT, PBE-GGA
State: relaxed

Output
total DFT energy (no corrections): -4.8337 eV per atom
formation energy (no corrections): 234 kJ/mol of formula units

The structure in CIF format:
```
data_AlCoPb2N
_chemical_formula_sum 'Al1 Co1 Pb2 N1'
_cell_length_a 5.321
_cell_length_b 5.321
_cell_length_c 3.535
_cell_angle_alpha 90.00
_cell_angle_beta 90.00
_cell_angle_gamma 90.00
_symmetry_space_group_name_H-M 'P 4/m m m'
_symmetry_Int_Tables_number 123
_symmetry_space_group_name_Hall '-P 4 2'
loop_
_atom_site_label
_atom_site_type_symbol
_atom_site_fract_x
_atom_site_fract_y
_atom_site_fract_z
Al1 Al 0.000 0.000 0.000
Co1 Co 0.500 0.500 0.000
Pb1 Pb 0.000 0.500 0.500
N1 N 0.000 0.000 0.500
```